(1)
First-principles (GGA-PBE) data for a geometry-optimized YIrCl structure, as listed in Alexandria via LeMat-Bulk.

The space group is R-3m (No. 166, hexagonal axes) and the conventional cell measures 4.2544, 4.2544 and 30.7027 Å, with angles of 90.00, 90.00 and 120.00 degrees. The distinct sites, in fractional coordinates, are Y at (0.0000, 0.0000, 0.0602), Ir at (0.0000, 0.0000, 0.3355) and Cl at (0.0000, 0.0000, 0.2212).

The uncorrected energy is -7.11 eV/atom. For the distance to the lowest polymorph of the same formula, the calculation gives 0 meV per atom.

(2)
First-principles (GGA-PBE) data for a geometry-optimized Rb2TaPO6 structure, as listed in Alexandria via LeMat-Bulk.

The space group is I4/mmm (No. 139) and the conventional cell measures 5.2113, 5.2113 and 11.4781 Å, with angles of 90.00, 90.00 and 90.00 degrees. The distinct sites, in fractional coordinates, are Rb at (0.0000, 0.5000, 0.2500), Ta at (0.0000, 0.0000, 0.0000), P at (0.0000, 0.0000, 0.5000), O at (0.0000, 0.0000, 0.1656) and O at (0.2186, 0.2186, 0.5000).

The uncorrected energy is -6.85 eV/atom.

(3)
First-principles (GGA-PBE) data for a geometry-optimized BaMg2Ga2Pd2 structure, as listed in Alexandria via LeMat-Bulk.

The space group is R-3m (No. 166, hexagonal axes) and the conventional cell measures 4.4590, 4.4590 and 26.9116 Å, with angles of 90.00, 90.00 and 120.00 degrees. The distinct sites, in fractional coordinates, are Ba at (0.0000, 0.0000, 0.0000), Mg at (0.0000, 0.0000, 0.1391), Ga at (0.0000, 0.0000, 0.2473) and Pd at (0.0000, 0.0000, 0.4442).

The calculation puts the formation energy at -3.74 eV/f.u. The uncorrected energy is -3.61 eV/atom.

(4)
First-principles (GGA-PBE) data for a geometry-optimized AcTb3Nd5 structure, as listed in Alexandria via LeMat-Bulk.

The space group is C2/c (No. 15) and the conventional cell measures 10.1758, 12.8192 and 9.9096 Å, with angles of 90.00, 90.05 and 90.00 degrees. The distinct sites, in fractional coordinates, are Ac at (0.0000, 0.1970, 0.2500), Tb at (0.0000, 0.0000, 0.0000), Tb at (0.1766, 0.1183, 0.7500), Nd at (0.0000, 0.4507, 0.2500), Nd at (0.1730, 0.3650, 0.9391) and Nd at (0.1737, 0.3652, 0.5612).

The calculation puts the formation energy at 1.66 eV/f.u. The uncorrected energy is -4.46 eV/atom. For the distance to the lowest polymorph of the same formula, the calculation gives 0 meV per atom.

(5)
First-principles (GGA-PBE) data for a geometry-optimized B2PC structure, as listed in Alexandria via LeMat-Bulk.

The space group is Cm (No. 8) and the conventional cell measures 7.9972, 2.6714 and 5.1040 Å, with angles of 90.00, 108.79 and 90.00 degrees. The distinct sites, in fractional coordinates, are B at (0.0000, 0.0000, 0.0000), B at (0.2187, 0.0000, 0.0529), P at (0.3935, 0.5000, 0.3217) and C at (0.3856, 0.0000, 0.9659).

The calculation puts the formation energy at 2.27 eV/f.u. The uncorrected energy is -6.43 eV/atom. For the distance to the lowest polymorph of the same formula, the calculation gives 492 meV per atom.

(6)
First-principles (GGA-PBE) data for a geometry-optimized UAlC structure, as listed in Alexandria via LeMat-Bulk.

The space group is P3m1 (No. 156) and the conventional cell measures 3.1566, 3.1566 and 5.3127 Å, with angles of 90.00, 90.00 and 120.00 degrees. The distinct sites, in fractional coordinates, are U at (0.0000, 0.0000, 0.0000), Al at (0.6667, 0.3333, 0.5233) and C at (0.3333, 0.6667, 0.7103).

The calculation puts the formation energy at 0.06 eV/f.u. The uncorrected energy is -8.06 eV/atom. For the distance to the lowest polymorph of the same formula, the calculation gives 0 meV per atom.

(7)
First-principles (GGA-PBE) data for a geometry-optimized HfSc4Tl5 structure, as listed in Alexandria via LeMat-Bulk.

The space group is P4/mmm (No. 123) and the conventional cell measures 3.4093, 3.4093 and 19.9935 Å, with angles of 90.00, 90.00 and 90.00 degrees. The distinct sites, in fractional coordinates, are Hf at (0.0000, 0.0000, 0.0000), Sc at (0.0000, 0.0000, 0.1998), Sc at (0.0000, 0.0000, 0.3999), Tl at (0.5000, 0.5000, 0.1005), Tl at (0.5000, 0.5000, 0.3004) and Tl at (0.5000, 0.5000, 0.5000).

The calculation puts the formation energy at -1.68 eV/f.u. The uncorrected energy is -4.88 eV/atom.

(8)
First-principles (GGA-PBE) data for a geometry-optimized RbY3B structure, as listed in Alexandria via LeMat-Bulk.

The space group is Pm-3m (No. 221) and the conventional cell measures 5.3373, 5.3373 and 5.3373 Å, with angles of 90.00, 90.00 and 90.00 degrees. The distinct sites, in fractional coordinates, are Rb at (0.0000, 0.0000, 0.0000), Y at (0.0000, 0.5000, 0.5000) and B at (0.5000, 0.5000, 0.5000).

The calculation puts the formation energy at 1.78 eV/f.u. The uncorrected energy is -5.05 eV/atom. For the distance to the lowest polymorph of the same formula, the calculation gives 0 meV per atom.

(9)
First-principles (GGA-PBE) data for a geometry-optimized K3La2MnSe6 structure, as listed in Alexandria via LeMat-Bulk.

The space group is C2/m (No. 12) and the conventional cell measures 7.3641, 12.9143 and 8.0650 Å, with angles of 90.00, 107.71 and 90.00 degrees. The distinct sites, in fractional coordinates, are K at (0.0000, 0.0000, 0.0000), K at (0.0000, 0.3310, 0.0000), La at (0.0000, 0.1684, 0.5000), Mn at (0.0000, 0.5000, 0.5000), Se at (0.2249, 0.5000, 0.3087) and Se at (0.2261, 0.3453, 0.7074).

The uncorrected energy is -5.00 eV/atom.

(10)
First-principles (GGA-PBE) data for a geometry-optimized CsSc2Pd structure, as listed in Alexandria via LeMat-Bulk.

The space group is R-3m (No. 166, hexagonal axes) and the conventional cell measures 3.9992, 3.9992 and 30.7900 Å, with angles of 90.00, 90.00 and 120.00 degrees. The distinct sites, in fractional coordinates, are Cs at (0.0000, 0.0000, 0.0000), Sc at (0.0000, 0.0000, 0.1244) and Pd at (0.0000, 0.0000, 0.5000).

The calculation puts the formation energy at 0.11 eV/f.u. The uncorrected energy is -4.65 eV/atom. For the distance to the lowest polymorph of the same formula, the calculation gives 0 meV per atom.

(11)
First-principles (GGA-PBE) data for a geometry-optimized ZrAl3Ir structure, as listed in Alexandria via LeMat-Bulk.

The space group is Pm-3m (No. 221) and the conventional cell measures 4.6683, 4.6683 and 4.6683 Å, with angles of 90.00, 90.00 and 90.00 degrees. The distinct sites, in fractional coordinates, are Zr at (0.0000, 0.0000, 0.0000), Al at (0.0000, 0.5000, 0.5000) and Ir at (0.5000, 0.5000, 0.5000).

The calculation puts the formation energy at -0.03 eV/f.u. The uncorrected energy is -5.73 eV/atom. For the distance to the lowest polymorph of the same formula, the calculation gives 669 meV per atom.

(12)
First-principles (GGA-PBE) data for a geometry-optimized Ta3AgF structure, as listed in Alexandria via LeMat-Bulk.

The space group is Pm-3m (No. 221) and the conventional cell measures 4.3340, 4.3340 and 4.3340 Å, with angles of 90.00, 90.00 and 90.00 degrees. The distinct sites, in fractional coordinates, are Ta at (0.0000, 0.0000, 0.5000), Ag at (0.5000, 0.5000, 0.5000) and F at (0.0000, 0.0000, 0.0000).

The uncorrected energy is -7.69 eV/atom. For the distance to the lowest polymorph of the same formula, the calculation gives 0 meV per atom.

Q: Which of these has the lowest uncorrected energy?
A: UAlC